No. 1
# Y3ThTl3Te8 (PBE-GGA, optimized geometry)
# * total magnetization: 0.00 μB/atom
# * formation energy without anion corrections: -1.093 eV/atom
# * theoretical density: 6.29 Mg/m³
# * uncorrected energy: -5.030 eV/atom
data_Y3ThTl3Te8
_symmetry_space_group_name_H-M 'P 1'
_symmetry_Int_Tables_number 1
_cell_length_a 8.891
_cell_length_b 8.891
_cell_length_c 9.701
_cell_angle_alpha 117.29
_cell_angle_beta 90.00
_cell_angle_gamma 120.00
loop_
_symmetry_equiv_pos_as_xyz
'x,y,z'
loop_
_atom_site_label
_atom_site_fract_x
_atom_site_fract_y
_atom_site_fract_z
Y1 0.500 0.000 0.500
Y2 0.500 0.500 0.500
Y3 0.000 0.500 0.500
Th1 0.000 0.000 0.500
Tl1 0.000 0.000 0.000
Tl2 0.000 0.500 0.000
Tl3 0.500 0.500 0.000
Te1 0.262 0.524 0.287
Te2 0.738 0.476 0.713
Te3 0.759 0.518 0.284
Te4 0.241 0.482 0.716
Te5 0.759 0.025 0.284
Te6 0.241 0.975 0.716
Te7 0.267 0.025 0.284
Te8 0.733 0.975 0.716

No. 2
# ThZr2Tl3Te6 (PBE-GGA, optimized geometry)
# * total magnetization: 0.00 μB/atom
# * formation energy without anion corrections: -0.702 eV/atom
# * DOS(E_F): 8.74 states/eV per cell
# * theoretical density: 7.64 Mg/m³
# * uncorrected energy: -4.907 eV/atom
data_ThZr2Tl3Te6
_symmetry_space_group_name_H-M 'P 1'
_symmetry_Int_Tables_number 1
_cell_length_a 7.240
_cell_length_b 7.240
_cell_length_c 8.950
_cell_angle_alpha 97.79
_cell_angle_beta 97.79
_cell_angle_gamma 120.29
loop_
_symmetry_equiv_pos_as_xyz
'x,y,z'
loop_
_atom_site_label
_atom_site_fract_x
_atom_site_fract_y
_atom_site_fract_z
Th1 0.000 0.000 0.000
Zr1 0.329 0.671 0.000
Zr2 0.671 0.329 0.000
Tl1 0.158 0.842 0.500
Tl2 0.842 0.158 0.500
Tl3 0.500 0.500 0.500
Te1 0.926 0.577 0.784
Te2 0.717 0.717 0.208
Te3 0.074 0.423 0.216
Te4 0.577 0.926 0.784
Te5 0.283 0.283 0.792
Te6 0.423 0.074 0.216

No. 3
# Tm2Th2Te7 (PBE-GGA, optimized geometry)
# * total magnetization: 0.00 μB/atom
# * formation energy without anion corrections: -1.229 eV/atom
# * DOS(E_F): 1.09 states/eV per cell
# * theoretical density: 8.25 Mg/m³
# * uncorrected energy: -5.390 eV/atom
data_Tm2Th2Te7
_symmetry_space_group_name_H-M 'P 1'
_symmetry_Int_Tables_number 1
_cell_length_a 4.405
_cell_length_b 9.551
_cell_length_c 9.551
_cell_angle_alpha 61.90
_cell_angle_beta 76.67
_cell_angle_gamma 76.67
loop_
_symmetry_equiv_pos_as_xyz
'x,y,z'
loop_
_atom_site_label
_atom_site_fract_x
_atom_site_fract_y
_atom_site_fract_z
Tm1 0.000 0.782 0.218
Tm2 0.500 0.323 0.677
Th1 0.735 0.855 0.674
Th2 0.265 0.326 0.145
Te1 0.820 0.065 0.294
Te2 0.860 0.432 0.847
Te3 0.500 0.011 0.989
Te4 0.609 0.492 0.291
Te5 0.391 0.709 0.508
Te6 0.180 0.706 0.935
Te7 0.140 0.153 0.568

No. 4
# TmThTe3 (PBE-GGA, optimized geometry)
# * total magnetization: 0.00 μB/atom
# * formation energy without anion corrections: -1.282 eV/atom
# * DOS(E_F): 3.67 states/eV per cell
# * theoretical density: 7.95 Mg/m³
# * relative energy among the computed polymorphs: 0 meV/atom
# * uncorrected energy: -5.545 eV/atom
data_TmThTe3
_symmetry_space_group_name_H-M 'P 1'
_symmetry_Int_Tables_number 1
_cell_length_a 4.296
_cell_length_b 8.226
_cell_length_c 9.618
_cell_angle_alpha 93.94
_cell_angle_beta 90.00
_cell_angle_gamma 105.14
loop_
_symmetry_equiv_pos_as_xyz
'x,y,z'
loop_
_atom_site_label
_atom_site_fract_x
_atom_site_fract_y
_atom_site_fract_z
Tm1 0.793 0.552 0.576
Tm2 0.163 0.294 0.845
Th1 0.586 0.138 0.293
Th2 0.370 0.707 0.128
Te1 0.940 0.847 0.377
Te2 0.606 0.179 0.640
Te3 0.350 0.667 0.782
Te4 0.016 0.999 0.045
Te5 0.722 0.412 0.053
Te6 0.234 0.434 0.368

No. 5
# TmThTe6 (PBE-GGA, optimized geometry)
# * total magnetization: 0.00 μB/atom
# * formation energy without anion corrections: -0.910 eV/atom
# * DOS(E_F): 2.32 states/eV per cell
# * theoretical density: 7.48 Mg/m³
# * uncorrected energy: -4.753 eV/atom
data_TmThTe6
_symmetry_space_group_name_H-M 'P 1'
_symmetry_Int_Tables_number 1
_cell_length_a 4.424
_cell_length_b 4.426
_cell_length_c 13.403
_cell_angle_alpha 90.00
_cell_angle_beta 99.50
_cell_angle_gamma 90.00
loop_
_symmetry_equiv_pos_as_xyz
'x,y,z'
loop_
_atom_site_label
_atom_site_fract_x
_atom_site_fract_y
_atom_site_fract_z
Tm1 0.831 0.000 0.663
Th1 0.170 0.500 0.341
Te1 0.579 0.500 0.157
Te2 0.419 0.000 0.838
Te3 0.293 0.500 0.587
Te4 0.709 0.000 0.418
Te5 0.919 0.500 0.839
Te6 0.079 0.000 0.158

No. 6
# TmThTe2 (PBE-GGA, optimized geometry)
# * total magnetization: 0.00 μB/atom
# * formation energy without anion corrections: -1.058 eV/atom
# * DOS(E_F): 7.59 states/eV per cell
# * theoretical density: 9.07 Mg/m³
# * relative energy among the computed polymorphs: 56 meV/atom
# * uncorrected energy: -5.601 eV/atom
data_TmThTe2
_symmetry_space_group_name_H-M 'P 1'
_symmetry_Int_Tables_number 1
_cell_length_a 6.235
_cell_length_b 6.235
_cell_length_c 7.593
_cell_angle_alpha 114.24
_cell_angle_beta 114.24
_cell_angle_gamma 90.00
loop_
_symmetry_equiv_pos_as_xyz
'x,y,z'
loop_
_atom_site_label
_atom_site_fract_x
_atom_site_fract_y
_atom_site_fract_z
Tm1 0.500 0.500 0.000
Tm2 0.250 0.750 0.500
Th1 0.750 0.250 0.500
Th2 0.000 0.000 0.000
Te1 0.743 0.743 0.487
Te2 0.493 0.993 0.987
Te3 0.257 0.257 0.513
Te4 0.007 0.507 0.013

Q: uncorrected energy of number 2 (ThZr2Tl3Te6)?
A: -4.907 eV/atom

Q: Which of these has the highest theoretical density?
A: TmThTe2